# Li4CaCo | Alexandria | GGA-PBE | optimized geometry
data_Li4CaCo
_chemical_formula_sum 'Li16 Ca4 Co4'
_space_group_name_H-M_alt 'F -4 3 m'
_space_group_IT_number 216
_space_group_name_Hall 'F -4 2 3'
_cell_length_a 7.653
_cell_length_b 7.653
_cell_length_c 7.653
_cell_angle_alpha 90.00
_cell_angle_beta 90.00
_cell_angle_gamma 90.00
loop_
_atom_site_label
_atom_site_type_symbol
_atom_site_fract_x
_atom_site_fract_y
_atom_site_fract_z
_atom_site_occupancy
Li1 Li 0.122 0.122 0.378 1
Ca1 Ca 0.000 0.000 0.000 1
Co1 Co 0.250 0.250 0.750 1
# **Formation enthalpy at 0 K**: 306 meV per atom
# **Spin magnetization**: 4.2 μB per cell
# **Total DFT energy (no corrections)**: -2.488 eV per atom